[1]
DFT (GGA-PBE) results for an optimized crystal structure of CuNi14Sn.

Unit cell a=5.056 b=5.056 c=8.283 alpha=90.00 beta=90.00 gamma=119.58
Site moments in Bohr magnetons follow the coordinates.
Element x y z (fractional)
Ni1 0.543 0.957 0.500  0.21
Ni2 0.043 0.457 0.500  0.21
Sn1 0.543 0.457 0.500  -0.03
Ni3 0.207 0.293 0.000  0.69
Ni4 0.207 0.793 0.000  0.62
Ni5 0.373 0.120 0.759  0.47
Ni6 0.372 0.628 0.242  0.50
Ni7 0.874 0.126 0.247  0.59
Ni8 0.707 0.793 0.000  0.69
Ni9 0.708 0.292 0.000  0.70
Ni10 0.880 0.627 0.241  0.47
Ni11 0.874 0.126 0.753  0.59
Ni12 0.373 0.120 0.241  0.47
Ni13 0.372 0.628 0.758  0.50
Ni14 0.880 0.627 0.759  0.47
Cu1 0.044 0.956 0.500  -0.02

Results
* total magnetization: 6.76 μB per formula unit
* total DFT energy (no corrections): -5.55 eV per atom

***

[2]
DFT (GGA-PBE) results for an optimized crystal structure of CuNi6Sn.

Unit cell a=6.310 b=6.310 c=10.333 alpha=90.00 beta=90.00 gamma=110.02
Site moments in Bohr magnetons follow the coordinates.
Element x y z (fractional)
Ni1 0.747 0.253 0.758  0.34
Ni2 0.500 0.500 0.500  0.31
Ni3 0.384 0.129 0.880  0.44
Cu1 0.500 0.500 0.244  0.04
Ni4 0.500 0.500 0.000  0.54
Ni5 0.871 0.616 0.880  0.44
Ni6 0.129 0.384 0.120  0.44
Ni7 0.616 0.871 0.120  0.44
Ni8 0.381 0.135 0.370  0.20
Ni9 0.000 0.000 0.000  0.32
Sn1 0.000 0.000 0.754  -0.02
Ni10 0.865 0.619 0.630  0.20
Cu2 0.500 0.500 0.756  0.04
Ni11 0.253 0.747 0.758  0.34
Ni12 0.865 0.619 0.370  0.20
Ni13 0.619 0.865 0.370  0.20
Sn2 0.247 0.753 0.500  -0.02
Ni14 0.616 0.871 0.880  0.44
Ni15 0.129 0.384 0.880  0.44
Ni16 0.135 0.381 0.370  0.20
Ni17 0.135 0.381 0.630  0.20
Cu3 0.753 0.247 0.000  0.05
Sn3 0.753 0.247 0.500  -0.02
Ni18 0.381 0.135 0.630  0.20
Ni19 0.253 0.747 0.242  0.34
Ni20 0.619 0.865 0.630  0.20
Sn4 0.000 0.000 0.246  -0.02
Ni21 0.000 0.000 0.500  0.15
Ni22 0.747 0.253 0.242  0.34
Cu4 0.247 0.753 0.000  0.05
Ni23 0.384 0.129 0.120  0.44
Ni24 0.871 0.616 0.120  0.44

Results
* relative energy among the computed polymorphs: 0 kJ/mol of formula units
* total magnetization: 1.89 μB per formula unit
* total DFT energy (no corrections): -5.39 eV per atom

***

[3]
DFT (GGA-PBE) results for an optimized crystal structure of CuNiSn.

Unit cell a=4.296 b=4.296 c=5.430 alpha=90.00 beta=90.00 gamma=90.00
Element x y z (fractional)
Ni1 0.772 0.599 0.486
Sn1 0.773 0.099 0.736
Ni2 0.772 0.599 0.986
Cu1 0.272 0.599 0.736
Sn2 0.272 0.598 0.236
Cu2 0.772 0.099 0.236

Results
* total magnetization: 0.00 μB per formula unit
* total DFT energy (no corrections): -4.71 eV per atom

***

[4]
DFT (GGA-PBE) results for an optimized crystal structure of Cu2Ni5Sn.

Unit cell a=3.750 b=3.750 c=7.406 alpha=104.66 beta=104.66 gamma=90.00
Element x y z (fractional)
Cu1 0.251 0.251 0.502
Ni1 0.869 0.369 0.738
Sn1 0.000 0.000 0.000
Cu2 0.749 0.749 0.498
Ni2 0.500 0.500 0.000
Ni3 0.131 0.631 0.262
Ni4 0.369 0.869 0.738
Ni5 0.631 0.131 0.262

Results
* relative energy among the computed polymorphs: 0 kJ/mol of formula units
* total magnetization: 0.00 μB per formula unit
* total DFT energy (no corrections): -5.21 eV per atom

***

[5]
DFT (GGA-PBE) results for an optimized crystal structure of Cu2Ni5Sn.

Unit cell a=6.283 b=6.283 c=6.793 alpha=117.55 beta=117.55 gamma=90.00
Element x y z (fractional)
Ni1 0.518 0.304 0.322
Ni2 0.018 0.518 0.322
Ni3 0.000 0.000 0.000
Cu1 0.646 0.146 0.000
Sn1 0.250 0.250 0.500
Ni4 0.696 0.196 0.678
Ni5 0.304 0.804 0.322
Ni6 0.982 0.482 0.678
Ni7 0.500 0.500 0.000
Sn2 0.750 0.750 0.500
Ni8 0.804 0.018 0.322
Ni9 0.482 0.696 0.678
Cu2 0.354 0.854 0.000
Ni10 0.196 0.982 0.678
Cu3 0.854 0.646 0.000
Cu4 0.146 0.354 0.000

Results
* relative energy among the computed polymorphs: 138 kJ/mol of formula units
* total magnetization: 0.00 μB per formula unit
* total DFT energy (no corrections): -5.03 eV per atom

***

[6]
DFT (GGA-PBE) results for an optimized crystal structure of Cu8Ni6Sn.

Unit cell a=6.688 b=6.688 c=6.267 alpha=57.75 beta=57.75 gamma=60.00
Element x y z (fractional)
Ni1 0.389 0.644 0.105
Cu1 0.858 0.555 0.402
Cu2 0.240 0.240 0.279
Cu3 0.815 0.142 0.598
Ni2 0.611 0.356 0.895
Ni3 0.862 0.389 0.105
Ni4 0.644 0.862 0.105
Ni5 0.138 0.611 0.895
Cu4 0.445 0.815 0.598
Cu5 0.555 0.185 0.402
Ni6 0.356 0.138 0.895
Cu6 0.185 0.858 0.402
Sn1 0.000 0.000 0.000
Cu7 0.142 0.445 0.598
Cu8 0.760 0.760 0.721

Results
* total magnetization: 0.00 μB per formula unit
* total DFT energy (no corrections): -4.61 eV per atom